Record 1
{"formula": "CdGa5Sn", "functional": "PBE", "state": "optimized geometry", "density_g_cm3": 6.29, "delta_e_f_ev_per_fu": 0.486, "sg": "P4/mmm", "lattice": [[4.271, 0.000, 0.000], [0.000, 4.271, 0.000], [0.000, 0.000, 8.397]], "species": ["Cd", "Ga", "Ga", "Ga", "Ga", "Ga", "Sn"], "fractional_positions": [[0.000, 0.000, 0.000], [0.000, 0.500, 0.255], [0.000, 0.500, 0.745], [0.500, 0.000, 0.255], [0.500, 0.000, 0.745], [0.500, 0.500, 0.000], [0.500, 0.500, 0.500]]}

Record 2
{"formula": "CdGa6Sn2", "functional": "PBE", "state": "optimized geometry", "density_g_cm3": 6.10, "delta_e_f_ev_per_fu": 0.666, "sg": "C2/m", "lattice": [[6.341, -3.570, 0.000], [6.341, 3.570, 0.000], [-0.494, 0.000, 4.617]], "species": ["Cd", "Ga", "Ga", "Ga", "Ga", "Ga", "Ga", "Sn", "Sn"], "fractional_positions": [[0.000, 0.000, 0.000], [0.001, 0.378, 0.280], [0.273, 0.727, 0.500], [0.378, 0.001, 0.280], [0.622, 0.999, 0.720], [0.727, 0.273, 0.500], [0.999, 0.622, 0.720], [0.375, 0.375, 0.065], [0.625, 0.625, 0.935]]}

Record 3
{"formula": "CdGa2Sn2", "functional": "PBE", "state": "optimized geometry", "density_g_cm3": 6.85, "delta_e_f_ev_per_fu": 0.361, "sg": "P4/mbm", "relative_energy_mev_per_atom": 0, "lattice": [[7.405, 0.000, 0.000], [0.000, 7.405, 0.000], [0.000, 0.000, 4.325]], "species": ["Cd", "Cd", "Ga", "Ga", "Ga", "Ga", "Sn", "Sn", "Sn", "Sn"], "fractional_positions": [[0.000, 0.000, 0.000], [0.500, 0.500, 0.000], [0.126, 0.374, 0.000], [0.374, 0.874, 0.000], [0.626, 0.126, 0.000], [0.874, 0.626, 0.000], [0.182, 0.682, 0.500], [0.318, 0.182, 0.500], [0.682, 0.818, 0.500], [0.818, 0.318, 0.500]]}

Record 4
{"formula": "Cd6Ga2Sn", "functional": "PBE", "state": "optimized geometry", "density_g_cm3": 7.40, "delta_e_f_ev_per_fu": 0.566, "sg": "C2/m", "relative_energy_mev_per_atom": 0, "lattice": [[4.444, -3.560, 0.000], [4.444, 3.560, 0.000], [-2.966, 0.000, 6.610]], "species": ["Cd", "Cd", "Cd", "Cd", "Cd", "Cd", "Ga", "Ga", "Sn"], "fractional_positions": [[0.127, 0.698, 0.773], [0.286, 0.286, 0.026], [0.302, 0.873, 0.227], [0.698, 0.127, 0.773], [0.714, 0.714, 0.974], [0.873, 0.302, 0.227], [0.162, 0.162, 0.597], [0.838, 0.838, 0.403], [0.500, 0.500, 0.500]]}

Record 5
{"formula": "Cd14GaSn", "functional": "PBE", "state": "optimized geometry", "density_g_cm3": 7.95, "delta_e_f_ev_per_fu": 0.383, "sg": "Amm2", "lattice": [[10.796, 0.000, 0.000], [0.000, 2.962, 5.753], [0.000, -2.962, 5.753]], "species": ["Cd", "Cd", "Cd", "Cd", "Cd", "Cd", "Cd", "Cd", "Cd", "Cd", "Cd", "Cd", "Cd", "Cd", "Ga", "Sn"], "fractional_positions": [[0.000, 0.000, 0.000], [0.000, 0.003, 0.503], [0.000, 0.500, 0.500], [0.000, 0.503, 0.003], [0.241, 0.316, 0.819], [0.241, 0.819, 0.316], [0.248, 0.820, 0.820], [0.250, 0.315, 0.315], [0.500, 0.096, 0.597], [0.500, 0.597, 0.096], [0.750, 0.315, 0.315], [0.752, 0.820, 0.820], [0.759, 0.316, 0.819], [0.759, 0.819, 0.316], [0.500, 0.096, 0.096], [0.500, 0.594, 0.594]]}

Record 6
{"formula": "CdGaSn2", "functional": "PBE", "state": "optimized geometry", "density_g_cm3": 6.83, "delta_e_f_ev_per_fu": 0.303, "sg": "R-3m", "relative_energy_mev_per_atom": 17, "lattice": [[1.632, 0.942, 11.060], [-1.632, 0.942, 11.060], [0.000, -1.885, 11.060]], "species": ["Cd", "Ga", "Sn", "Sn"], "fractional_positions": [[0.000, 0.000, 0.000], [0.500, 0.500, 0.500], [0.093, 0.093, 0.093], [0.907, 0.907, 0.907]]}

What is the formula in the fifth record?
Cd14GaSn

What is the formula in the fourth record?
Cd6Ga2Sn